1) HfZrCl3 | GGA-PBE | optimized geometry

- DOS at the Fermi energy: 6.143 states/eV/f.u.

CIF file:
```
data_HfZrCl3
_cell_length_a 4.962
_cell_length_b 4.962
_cell_length_c 4.962
_cell_angle_alpha 90.00
_cell_angle_beta 90.00
_cell_angle_gamma 90.00
_symmetry_space_group_name_H-M 'P m -3 m'
_symmetry_Int_Tables_number 221
_symmetry_space_group_name_Hall '-P 4 2 3'
loop_
_atom_site_label
_atom_site_fract_x
_atom_site_fract_y
_atom_site_fract_z
Hf1 0.000 0.000 0.000
Zr1 0.500 0.500 0.500
Cl1 0.000 0.000 0.500
```


2) HfZrCl3 | GGA-PBE | optimized geometry

- DOS at the Fermi energy: 7.278 states/eV/f.u.

CIF file:
```
data_HfZrCl3
_cell_length_a 5.087
_cell_length_b 5.087
_cell_length_c 5.087
_cell_angle_alpha 90.00
_cell_angle_beta 90.00
_cell_angle_gamma 90.00
_symmetry_space_group_name_H-M 'P m -3 m'
_symmetry_Int_Tables_number 221
_symmetry_space_group_name_Hall '-P 4 2 3'
loop_
_atom_site_label
_atom_site_fract_x
_atom_site_fract_y
_atom_site_fract_z
Hf1 0.000 0.000 0.000
Zr1 0.500 0.500 0.500
Cl1 0.000 0.500 0.500
```


It is 2) that is the least stable of them.


1) Hf2ZrCl | GGA-PBE | optimized geometry

- DOS at the Fermi energy: 4.526 states/eV/f.u.

CIF file:
```
data_Hf2ZrCl
_cell_length_a 7.011
_cell_length_b 7.011
_cell_length_c 7.011
_cell_angle_alpha 90.00
_cell_angle_beta 90.00
_cell_angle_gamma 90.00
_symmetry_space_group_name_H-M 'F m -3 m'
_symmetry_Int_Tables_number 225
_symmetry_space_group_name_Hall '-F 4 2 3'
loop_
_atom_site_label
_atom_site_fract_x
_atom_site_fract_y
_atom_site_fract_z
Hf1 0.250 0.250 0.250
Zr1 0.000 0.000 0.000
Cl1 0.000 0.000 0.500
```


2) Hf2ZrCl | GGA-PBE | optimized geometry

- DOS at the Fermi energy: 5.943 states/eV/f.u.

CIF file:
```
data_Hf2ZrCl
_cell_length_a 4.051
_cell_length_b 4.051
_cell_length_c 21.451
_cell_angle_alpha 90.00
_cell_angle_beta 90.00
_cell_angle_gamma 90.00
_symmetry_space_group_name_H-M 'I -4 2 d'
_symmetry_Int_Tables_number 122
_symmetry_space_group_name_Hall 'I -4 2bw'
loop_
_atom_site_label
_atom_site_fract_x
_atom_site_fract_y
_atom_site_fract_z
Hf1 0.247 0.250 0.125
Zr1 0.000 0.000 0.000
Cl1 0.000 0.000 0.500
```


It is 1) that is the least stable of them.